# 1
This record from OQMD describes crystalline Nb3AgSn5 at its relaxed geometry. The functional is PBE-GGA.

Cell lengths 5.8026, 5.8026, 7.5744 Å; angles 90.00, 90.00, 120.00 degrees
Atoms (fractional coordinates):
Nb1 0.0000 0.5000 0.0000
Nb2 0.5000 0.0000 0.0000
Nb3 0.5000 0.5000 0.0000
Ag1 0.0000 0.0000 0.5000
Sn1 0.0000 0.0000 0.0000
Sn2 0.3333 0.6667 0.3139
Sn3 0.3333 0.6667 0.6861
Sn4 0.6667 0.3333 0.3139
Sn5 0.6667 0.3333 0.6861

E_tot = -5.7739 eV/atom


# 2
This record from OQMD describes crystalline ZrTeNO at its relaxed geometry. The functional is PBE-GGA.

Cell lengths 4.3220, 4.3220, 7.2109 Å; angles 90.00, 90.00, 90.00 degrees
Atoms (fractional coordinates):
Zr1 0.2500 0.7500 0.0000
Zr2 0.7500 0.2500 0.0000
Te1 0.2500 0.2500 0.3846
Te2 0.7500 0.7500 0.6154
N1 0.2500 0.2500 0.9291
N2 0.7500 0.7500 0.0709
O1 0.2500 0.7500 0.5000
O2 0.7500 0.2500 0.5000

Energy above the lowest structure with this stoichiometry = 785 meV per atom


# 3
This record from OQMD describes crystalline Pr3Sc3Te2Pd at its relaxed geometry. The functional is PBE-GGA.

Cell lengths 8.5265, 8.5265, 3.8404 Å; angles 90.00, 90.00, 120.00 degrees
Atoms (fractional coordinates):
Pr1 0.0000 0.7428 0.0000
Pr2 0.2572 0.2572 0.0000
Pr3 0.7428 0.0000 0.0000
Sc1 0.0000 0.4055 0.5000
Sc2 0.4055 0.0000 0.5000
Sc3 0.5945 0.5945 0.5000
Te1 0.3333 0.6667 0.0000
Te2 0.6667 0.3333 0.0000
Pd1 0.0000 0.0000 0.5000

Energy above the lowest structure with this stoichiometry = 222 meV per atom


# 4
This record from OQMD describes crystalline CoSbPtAu at its relaxed geometry. The functional is PBE-GGA.

Cell lengths 4.5595, 4.5595, 4.5595 Å; angles 60.00, 60.00, 60.00 degrees
Atoms (fractional coordinates):
Co1 0.0000 0.0000 0.0000
Sb1 0.7500 0.7500 0.7500
Pt1 0.5000 0.5000 0.5000
Au1 0.2500 0.2500 0.2500

Energy above the lowest structure with this stoichiometry = 0 meV per atom


# 5
This record from OQMD describes crystalline GdPdNO at its relaxed geometry. The functional is PBE-GGA.

Cell lengths 4.2097, 7.1110, 4.3089 Å; angles 90.00, 90.00, 90.00 degrees
Atoms (fractional coordinates):
Gd1 0.0000 0.1934 0.0000
Gd2 0.0000 0.8066 0.5000
Pd1 0.5000 0.3884 0.4965
Pd2 0.5000 0.6116 0.9965
N1 0.5000 0.3294 0.9966
N2 0.5000 0.6706 0.4966
O1 0.0000 0.1233 0.5001
O2 0.0000 0.8767 0.0001

Energy above the lowest structure with this stoichiometry = 136 meV per atom


# 6
This record from OQMD describes crystalline Zr3PtC at its relaxed geometry. The functional is PBE-GGA.

Cell lengths 6.1095, 6.1095, 9.0142 Å; angles 90.00, 90.00, 147.93 degrees
Atoms (fractional coordinates):
Zr1 0.0571 0.9429 0.7500
Zr2 0.3719 0.6281 0.5578
Zr3 0.3719 0.6281 0.9422
Zr4 0.6281 0.3719 0.0578
Zr5 0.6281 0.3719 0.4422
Zr6 0.9429 0.0571 0.2500
Pt1 0.2522 0.7478 0.2500
Pt2 0.7478 0.2522 0.7500
C1 0.0000 0.0000 0.0000
C2 0.0000 0.0000 0.5000

Energy above the lowest structure with this stoichiometry = 0 meV per atom


| no. | M_tot (Bohr magnetons per cell) |
| --- | --- |
| 1 | 0.04 |
| 2 | 0.01 |
| 3 | 0.66 |
| 4 | 1.43 |
| 5 | 0.00 |
| 6 | 0.02 |